A plane-wave DFT calculation with GGA-PBE was carried out for a relaxed structure of RbTiAs2N.

Geometry as POSCAR:
```
RbTiAs2N
1.0
-1.309 -1.211 4.441
7.326 0.804 2.379
-0.833 4.603 1.010
As N Rb Ti
2 1 1 1
Direct
0.000 0.000 0.500
0.500 0.000 0.000
0.500 0.500 0.500
0.000 0.500 0.000
0.000 0.000 0.000
```

Results
Total energy (eV/atom): -4.43
Formation energy from raw total energies (eV per atom): 0.870
Symmetry: P4/mmm
Calculated volume (Å³/cell): 177.4

A plane-wave DFT calculation with GGA-PBE was carried out for a relaxed structure of ReAsN.

Geometry as POSCAR:
```
ReAsN
1.0
5.862 0.633 -0.320
-1.806 2.411 0.019
-1.936 -1.499 5.708
Re N As
2 2 2
Direct
0.484 0.234 0.812
0.516 0.766 0.188
0.208 0.459 0.829
0.792 0.541 0.171
0.772 0.022 0.654
0.228 0.978 0.346
```

Results
Total energy (eV/atom): -8.27
Formation energy from raw total energies (eV per atom): 0.200
Symmetry: P2_1/m
Calculated volume (Å³/cell): 85.0

A plane-wave DFT calculation with GGA-PBE was carried out for a relaxed structure of ReAsN3.

Geometry as POSCAR:
```
ReAsN3
1.0
-3.686 -1.026 0.784
1.266 -3.339 1.583
0.254 1.748 3.483
Re As N
1 1 3
Direct
0.000 0.000 0.000
0.500 0.500 0.500
0.000 0.500 0.000
0.000 0.000 0.500
0.500 0.000 0.000
```

Results
Total energy (eV/atom): -7.40
Formation energy from raw total energies (eV per atom): 1.016
Symmetry: Pm-3m
Calculated volume (Å³/cell): 59.6

A plane-wave DFT calculation with GGA-PBE was carried out for a relaxed structure of ReAs2N.

Geometry as POSCAR:
```
ReAs2N
1.0
5.317 0.000 0.000
0.000 5.317 0.000
2.658 2.658 4.722
Re As N
2 4 2
Direct
0.000 0.000 0.000
0.750 0.250 0.500
0.576 0.125 0.250
0.174 0.625 0.250
0.375 0.424 0.750
0.875 0.826 0.750
0.500 0.500 0.000
0.250 0.750 0.500
```

Results
Total energy (eV/atom): -6.74
Formation energy from raw total energies (eV per atom): 0.775
Symmetry: I-42d
Calculated volume (Å³/cell): 133.5

Which value of calculated volume does entry 4 give? 133.5 Å³/cell

What is the calculated volume in the first record? 177.4 Å³/cell

Which value of formation energy from raw total energies does entry 4 give? 0.775 eV per atom